(1)
# CoW

Crystalline CoW at its relaxed geometry (GGA-PBEsol, the Alexandria database).

The space group is No. 63. The value obtained for the density is 15.78 g cm⁻³. The value obtained for the formation energy is 0.077 eV/atom. The calculated volume is 51 Å³ per cell. As for the total moment: 0.000 μB/atom.

Lattice parameters (Å, degrees): 4.9556 4.9556 4.0176 90.00 90.00 148.82
Last column: nearest neighbours and their distance in Å.
Fractional positions:
Co: 0.0725 0.9275 0.7500  4 Co 2.44-2.66, 7 W 2.54-2.58
Co: 0.9275 0.0725 0.2500  4 Co 2.44-2.66, 7 W 2.54-2.58
W: 0.3426 0.6574 0.7500  7 Co 2.54-2.58, 2 W 2.66
W: 0.6574 0.3426 0.2500  7 Co 2.54-2.58, 2 W 2.66

---

(2)
# TcRu2Pt

Crystalline TcRu2Pt at its relaxed geometry (GGA-PBEsol, the Alexandria database).

The space group is No. 216. The value obtained for the density is 14.43 g cm⁻³. The value obtained for the formation energy is 0.485 eV/atom. The calculated volume is 57 Å³ per cell. As for the total moment: 0.306 μB/atom.

Lattice parameters (Å, degrees): 4.3199 4.3199 4.3199 60.00 60.00 60.00
Last column: nearest neighbours and their distance in Å.
Fractional positions:
Tc: 0.0000 0.0000 0.0000  4 Pt 2.65, 4 Ru 2.65
Ru: 0.2500 0.2500 0.2500  4 Ru 2.65, 4 Tc 2.65
Ru: 0.5000 0.5000 0.5000  4 Ru 2.65, 4 Pt 2.65
Pt: 0.7500 0.7500 0.7500  4 Ru 2.65, 4 Tc 2.65

---

(3)
# CaZrReSb2

Crystalline CaZrReSb2 at its relaxed geometry (GGA-PBEsol, the Alexandria database).

The space group is No. 123. The calculation puts the uncorrected formation energy at 0.363 eV/atom. The value obtained for the density is 6.86 g cm⁻³. The calculated volume is 136 Å³ per cell. As for the total moment: 0.113 μB/atom.

Lattice parameters (Å, degrees): 5.2053 5.2053 5.0098 90.00 90.00 90.00
Last column: nearest neighbours and their distance in Å.
Fractional positions:
Ca: 0.0000 0.0000 0.0000  8 Sb 3.61, 4 Zr 3.68
Zr: 0.5000 0.5000 0.0000  2 Re 2.50
Re: 0.5000 0.5000 0.5000  2 Zr 2.50, 4 Sb 2.60
Sb: 0.0000 0.5000 0.5000  2 Re 2.60
Sb: 0.5000 0.0000 0.5000  2 Re 2.60

---

(4)
# Ca2Al2FeSi4BO16

Crystalline Ca2Al2FeSi4BO16 at its relaxed geometry (GGA-PBEsol, the Alexandria database).

The space group is No. 2. The calculation puts the uncorrected formation energy at -2.728 eV/atom. The value obtained for the density is 3.35 g cm⁻³. The calculated volume is 564 Å³ per cell. As for the total moment: 0.194 μB/atom.

Lattice parameters (Å, degrees): 7.1991 9.0036 9.0251 88.21 77.24 81.13
Last column: nearest neighbours and their distance in Å.
Fractional positions:
Ca: 0.1720 0.4010 0.0927  5 O 2.20-2.42
Ca: 0.2349 0.8813 0.6740  2 O 2.20-2.28
Ca: 0.7651 0.1187 0.3260  2 O 2.20-2.28
Ca: 0.8280 0.5990 0.9073  5 O 2.20-2.42
Al: 0.0551 0.2396 0.8141  6 O 1.80-2.01
Al: 0.3416 0.0869 0.9422  6 O 1.82-1.97
Al: 0.6584 0.9131 0.0578  6 O 1.82-1.97
Al: 0.9449 0.7604 0.1859  6 O 1.80-2.01
Fe: 0.2301 0.6203 0.3858  4 O 1.88-2.06
Fe: 0.7699 0.3797 0.6142  4 O 1.88-2.06
Si: 0.2111 0.2708 0.4480  4 O 1.63-1.65
Si: 0.2178 0.9799 0.2737  4 O 1.60-1.68
Si: 0.2988 0.5102 0.7330  4 O 1.62-1.66
Si: 0.3501 0.7376 0.9825  4 O 1.61-1.67
Si: 0.6499 0.2624 0.0175  4 O 1.61-1.67
Si: 0.7012 0.4898 0.2670  4 O 1.62-1.66
Si: 0.7822 0.0201 0.7263  4 O 1.60-1.68
Si: 0.7889 0.7292 0.5520  4 O 1.63-1.65
B: 0.4677 0.2101 0.6295  4 O 1.42-1.53
B: 0.5323 0.7899 0.3705  4 O 1.42-1.53
O: 0.0194 0.9329 0.2520  1 Si 1.60
O: 0.0471 0.3118 0.6039  1 Si 1.64
O: 0.1009 0.1926 0.9993  2 Al 1.80-1.82
O: 0.1212 0.4388 0.8367  1 Si 1.62
O: 0.1344 0.1430 0.3618  2 Si 1.64-1.66
O: 0.2084 0.6729 0.1348  1 Si 1.67
O: 0.2289 0.4184 0.3399  1 Si 1.63
O: 0.2298 0.6201 0.5997  1 Si 1.65
O: 0.2798 0.8954 0.9062  1 Si 1.62
O: 0.3207 0.8576 0.3878  1 B 1.53, 1 Si 1.68
O: 0.3294 0.1440 0.7377  1 B 1.42
O: 0.3766 0.6121 0.8448  2 Si 1.62-1.67
O: 0.3865 0.0039 0.1295  1 Si 1.61
O: 0.4259 0.2016 0.4767  1 B 1.48, 1 Si 1.65
O: 0.4424 0.2636 0.9786  1 Si 1.61
O: 0.4775 0.3742 0.6623  1 B 1.53, 1 Si 1.66
O: 0.5225 0.6258 0.3377  1 B 1.53, 1 Si 1.66
O: 0.5576 0.7364 0.0214  1 Si 1.61
O: 0.5741 0.7984 0.5233  1 B 1.48, 1 Si 1.65
O: 0.6135 0.9961 0.8705  1 Si 1.61
O: 0.6234 0.3879 0.1552  2 Si 1.62-1.67
O: 0.6706 0.8560 0.2623  1 B 1.42
O: 0.6793 0.1424 0.6122  1 B 1.53, 1 Si 1.68
O: 0.7202 0.1046 0.0938  1 Si 1.62
O: 0.7702 0.3799 0.4003  1 Si 1.65
O: 0.7711 0.5816 0.6601  1 Si 1.63
O: 0.7916 0.3271 0.8652  1 Si 1.67
O: 0.8656 0.8570 0.6382  2 Si 1.64-1.66
O: 0.8788 0.5612 0.1633  1 Si 1.62
O: 0.8991 0.8074 0.0007  2 Al 1.80-1.82
O: 0.9529 0.6882 0.3961  1 Si 1.64
O: 0.9806 0.0671 0.7480  1 Si 1.60